(1)
A plane-wave DFT calculation with PBE-GGA was carried out for a relaxed structure of CeScCd.

a b c (Å): 8.293 5.922 5.908
angles (deg): 90.00 91.27 90.00
Space group P2_1/c (No. 14)
Asymmetric unit:
Ce (0.016, 0.236, 0.129) x4
Sc (0.339, 0.605, 0.883) x4
Cd (0.353, 0.104, 0.888) x4

Computed properties:
Energy of formation from the pure elements   -0.031 eV per atom
DFT total energy   -53.09 eV for the cell shown
Distance to the lowest polymorph of the same formula   75 meV per atom
Calculated volume   290 Å³ per cell

(2)
A plane-wave DFT calculation with PBE-GGA was carried out for a relaxed structure of Ce2ScCd.

a b c (Å): 5.587 5.587 3.516
angles (deg): 90.00 90.00 90.00
Space group P4/mmm (No. 123)
Asymmetric unit:
Ce (0.000, 0.500, 0.000) x2
Sc (0.000, 0.000, 0.500) x1
Cd (0.500, 0.500, 0.500) x1

Computed properties:
Energy of formation from the pure elements   0.031 eV per atom
DFT total energy   -18.99 eV for the cell shown
Distance to the lowest polymorph of the same formula   38 meV per atom
Calculated volume   110 Å³ per cell

(3)
A plane-wave DFT calculation with PBE-GGA was carried out for a relaxed structure of Ce2ScCd6.

a b c (Å): 8.7643 8.7643 3.2426
angles (deg): 90.00 90.00 120.00
Space group P6/mmm (No. 191)
Asymmetric unit:
Ce (0.3333, 0.6667, 0.0000) x2
Sc (0.0000, 0.0000, 0.0000) x1
Cd (0.0000, 0.3261, 0.5000) x6

Computed properties:
Energy of formation from the pure elements   -0.232 eV per atom
DFT total energy   -25.78 eV for the cell shown
Calculated volume   216 Å³ per cell

(4)
A plane-wave DFT calculation with PBE-GGA was carried out for a relaxed structure of CeSc2Cd.

a b c (Å): 3.3041 3.3041 30.9683
angles (deg): 90.00 90.00 120.00
Space group R-3m (No. 166, hexagonal axes)
Asymmetric unit:
Ce (0.0000, 0.0000, 0.0000) x3
Sc (0.0000, 0.0000, 0.2468) x6
Cd (0.0000, 0.0000, 0.5000) x3

Computed properties:
Energy of formation from the pure elements   -0.043 eV per atom
DFT total energy   -59.05 eV for the cell shown
Distance to the lowest polymorph of the same formula   61 meV per atom
Calculated volume   293 Å³ per cell

(5)
A plane-wave DFT calculation with PBE-GGA was carried out for a relaxed structure of CeSc3Cd4.

a b c (Å): 5.041 5.041 7.477
angles (deg): 90.00 90.00 90.00
Space group P4/mmm (No. 123)
Asymmetric unit:
Ce (0.000, 0.000, 0.000) x1
Sc (0.000, 0.000, 0.500) x1
Sc (0.500, 0.500, 0.000) x1
Sc (0.500, 0.500, 0.500) x1
Cd (0.000, 0.500, 0.270) x4

Computed properties:
Energy of formation from the pure elements   -0.215 eV per atom
DFT total energy   -30.31 eV for the cell shown
Calculated volume   190 Å³ per cell

(6)
A plane-wave DFT calculation with PBE-GGA was carried out for a relaxed structure of CeScCd.

a b c (Å): 5.2432 5.2432 2.9785
angles (deg): 90.00 90.00 120.00
Space group P-6m2 (No. 187)
Asymmetric unit:
Ce (0.0000, 0.0000, 0.0000) x1
Sc (0.3333, 0.6667, 0.0000) x1
Cd (0.6667, 0.3333, 0.5000) x1

Computed properties:
Energy of formation from the pure elements   0.018 eV per atom
DFT total energy   -13.13 eV for the cell shown
Distance to the lowest polymorph of the same formula   123 meV per atom
Calculated volume   71 Å³ per cell

(7)
A plane-wave DFT calculation with PBE-GGA was carried out for a relaxed structure of CeSmScCd.

a b c (Å): 7.640 7.640 7.640
angles (deg): 90.00 90.00 90.00
Space group F-43m (No. 216)
Asymmetric unit:
Ce (0.000, 0.000, 0.000) x4
Sm (0.000, 0.000, 0.500) x4
Sc (0.250, 0.250, 0.750) x4
Cd (0.250, 0.250, 0.250) x4

Computed properties:
Energy of formation from the pure elements   0.002 eV per atom
DFT total energy   -71.56 eV for the cell shown
Calculated volume   446 Å³ per cell

(8)
A plane-wave DFT calculation with PBE-GGA was carried out for a relaxed structure of CeThScCd.

a b c (Å): 7.537 7.537 7.537
angles (deg): 90.00 90.00 90.00
Space group F-43m (No. 216)
Asymmetric unit:
Ce (0.000, 0.000, 0.000) x4
Th (0.250, 0.250, 0.750) x4
Sc (0.000, 0.000, 0.500) x4
Cd (0.250, 0.250, 0.250) x4

Computed properties:
Energy of formation from the pure elements   0.082 eV per atom
DFT total energy   -81.09 eV for the cell shown
Calculated volume   428 Å³ per cell

Number 1: mass density 6811 kg/m³. Number 2: mass density 6621 kg/m³. Number 3: mass density 7696 kg/m³. Number 4: mass density 5826 kg/m³. Number 5: mass density 6334 kg/m³. Number 6: mass density 6966 kg/m³. Number 7: mass density 6671 kg/m³. Number 8: mass density 8213 kg/m³.